[1]
# PBE-GGA HfNpSn, optimized geometry
data_HfNpSn
_chemical_formula_sum 'Hf1 Np1 Sn1'
_symmetry_space_group_name_H-M 'P 1'
_symmetry_Int_Tables_number 1
_symmetry_space_group_name_Hall 'P 1'
_cell_length_a 4.910
_cell_length_b 4.910
_cell_length_c 4.910
_cell_angle_alpha 60.00
_cell_angle_beta 60.00
_cell_angle_gamma 60.00
loop_
_atom_site_label
_atom_site_type_symbol
_atom_site_fract_x
_atom_site_fract_y
_atom_site_fract_z
Hf1 Hf 0.000 0.000 0.000
Np1 Np 0.250 0.250 0.250
Sn1 Sn 0.750 0.750 0.750
# E_tot	-0.306	Ha/atom
# symmetry	F-43m, No. 216

***

[2]
# PBE-GGA MgZrCoSb, optimized geometry
data_MgZrCoSb
_chemical_formula_sum 'Mg1 Zr1 Co1 Sb1'
_symmetry_space_group_name_H-M 'P 1'
_symmetry_Int_Tables_number 1
_symmetry_space_group_name_Hall 'P 1'
_cell_length_a 4.700
_cell_length_b 4.700
_cell_length_c 4.700
_cell_angle_alpha 60.00
_cell_angle_beta 60.00
_cell_angle_gamma 60.00
loop_
_atom_site_label
_atom_site_type_symbol
_atom_site_fract_x
_atom_site_fract_y
_atom_site_fract_z
Co1 Co 0.750 0.750 0.750
Mg1 Mg 0.500 0.500 0.500
Sb1 Sb 0.000 0.000 0.000
Zr1 Zr 0.250 0.250 0.250
# energy relative to the lowest polymorph listed for this composition	62	meV per atom
# E_tot	-0.192	Ha/atom
# symmetry	F-43m, No. 216

***

[3]
# PBE-GGA YCu2, optimized geometry
data_YCu2
_chemical_formula_sum 'Y2 Cu4'
_symmetry_space_group_name_H-M 'P 1'
_symmetry_Int_Tables_number 1
_symmetry_space_group_name_Hall 'P 1'
_cell_length_a 5.252
_cell_length_b 5.252
_cell_length_c 5.252
_cell_angle_alpha 60.00
_cell_angle_beta 60.00
_cell_angle_gamma 60.00
loop_
_atom_site_label
_atom_site_type_symbol
_atom_site_fract_x
_atom_site_fract_y
_atom_site_fract_z
Cu1 Cu 0.125 0.125 0.125
Cu2 Cu 0.625 0.125 0.125
Cu3 Cu 0.125 0.625 0.125
Cu4 Cu 0.125 0.125 0.625
Y1 Y 0.500 0.500 0.500
Y2 Y 0.750 0.750 0.750
# E_tot	-0.176	Ha/atom
# formation energy	-0.15	eV/atom
# symmetry	Fd-3m, No. 227

***

[4]
# PBE-GGA CuAgHgSb, optimized geometry
data_CuAgHgSb
_chemical_formula_sum 'Cu1 Ag1 Hg1 Sb1'
_symmetry_space_group_name_H-M 'P 1'
_symmetry_Int_Tables_number 1
_symmetry_space_group_name_Hall 'P 1'
_cell_length_a 4.851
_cell_length_b 4.851
_cell_length_c 4.851
_cell_angle_alpha 60.00
_cell_angle_beta 60.00
_cell_angle_gamma 60.00
loop_
_atom_site_label
_atom_site_type_symbol
_atom_site_fract_x
_atom_site_fract_y
_atom_site_fract_z
Ag1 Ag 0.250 0.250 0.250
Cu1 Cu 0.750 0.750 0.750
Hg1 Hg 0.500 0.500 0.500
Sb1 Sb 0.000 0.000 0.000
# energy relative to the lowest polymorph listed for this composition	0	meV per atom
# E_tot	-0.092	Ha/atom
# symmetry	F-43m, No. 216

***

[5]
# PBE-GGA LuCuSnPt, optimized geometry
data_LuCuSnPt
_chemical_formula_sum 'Lu1 Cu1 Sn1 Pt1'
_symmetry_space_group_name_H-M 'P 1'
_symmetry_Int_Tables_number 1
_symmetry_space_group_name_Hall 'P 1'
_cell_length_a 4.697
_cell_length_b 4.697
_cell_length_c 4.697
_cell_angle_alpha 60.00
_cell_angle_beta 60.00
_cell_angle_gamma 60.00
loop_
_atom_site_label
_atom_site_type_symbol
_atom_site_fract_x
_atom_site_fract_y
_atom_site_fract_z
Cu1 Cu 0.750 0.750 0.750
Lu1 Lu 0.000 0.000 0.000
Pt1 Pt 0.500 0.500 0.500
Sn1 Sn 0.250 0.250 0.250
# energy relative to the lowest polymorph listed for this composition	218	meV per atom
# E_tot	-0.185	Ha/atom
# symmetry	F-43m, No. 216

***

[6]
# PBE-GGA LuTlCuW, optimized geometry
data_LuTlCuW
_chemical_formula_sum 'Lu1 Tl1 Cu1 W1'
_symmetry_space_group_name_H-M 'P 1'
_symmetry_Int_Tables_number 1
_symmetry_space_group_name_Hall 'P 1'
_cell_length_a 4.811
_cell_length_b 4.811
_cell_length_c 4.811
_cell_angle_alpha 60.00
_cell_angle_beta 60.00
_cell_angle_gamma 60.00
loop_
_atom_site_label
_atom_site_type_symbol
_atom_site_fract_x
_atom_site_fract_y
_atom_site_fract_z
Cu1 Cu 0.750 0.750 0.750
Lu1 Lu 0.500 0.500 0.500
Tl1 Tl 0.000 0.000 0.000
W1 W 0.250 0.250 0.250
# energy relative to the lowest polymorph listed for this composition	0	meV per atom
# E_tot	-0.190	Ha/atom
# symmetry	F-43m, No. 216